VASP calculation (PBE) on a relaxed structure of NbAlTc3.

## Properties
E_tot ... -7.932 eV per atom
Energy relative to the lowest polymorph listed for this composition ... 0.0 meV per atom

a = 4.4130 Å, b = 4.4130 Å, c = 4.4130 Å
α = 90.00°, β = 90.00°, γ = 90.00°
Sites, in units of the cell vectors:
Nb: 0.5000 0.5000 0.5000
Tc: 0.0000 0.0000 0.5000
Tc: 0.5000 0.0000 0.0000
Tc: 0.0000 0.5000 0.0000
Al: 0.0000 0.0000 0.0000

---

VASP calculation (PBE) on a relaxed structure of WC2.

## Properties
E_tot ... -9.858 eV per atom
Energy relative to the lowest polymorph listed for this composition ... 92.9 meV per atom

a = 5.5345 Å, b = 5.5345 Å, c = 3.7662 Å
α = 84.00°, β = 84.00°, γ = 29.00°
Sites, in units of the cell vectors:
W: 0.8782 0.8782 0.0517
C: 0.2309 0.2309 0.4088
C: 0.4965 0.4965 0.6937
C: 0.5035 0.5035 0.3063
C: 0.7691 0.7691 0.5912
W: 0.1218 0.1218 0.9483

---

| no. | energy of formation (meV per atom) |
| --- | --- |
| 1 | 1050 |
| 2 | 609 |